No. 1
Density functional theory data (GGA-PBE) for a relaxed structure of Sc3CoRh.

Properties
The calculation puts the density of states at the Fermi level at 15.1 states/eV per cell. As for the energy of formation from the pure elements: -0.508 eV/atom. As for the total magnetization: 0.00 μB/f.u. The total energy comes out at -7.199 eV per atom. As for the energy above the most stable polymorph in this dataset: 0.0000 eV/atom.

a = 7.126 Å, b = 7.077 Å, c = 8.109 Å
α = 90.00°, β = 117.38°, γ = 90.00°
Atoms (fractional coordinates):
Sc 0.953 0.715 0.375
Co 0.556 0.684 0.095
Sc 0.811 0.463 0.029
Rh 0.762 0.530 0.663
Sc 0.047 0.285 0.625
Sc 0.547 0.215 0.625
Co 0.944 0.184 0.905
Sc 0.597 0.381 0.292
Sc 0.311 0.037 0.029
Sc 0.453 0.785 0.375
Sc 0.189 0.537 0.971
Rh 0.262 0.970 0.663
Rh 0.738 0.030 0.337
Sc 0.903 0.881 0.708
Sc 0.097 0.119 0.292
Rh 0.238 0.470 0.337
Sc 0.689 0.963 0.971
Co 0.056 0.816 0.095
Co 0.444 0.316 0.905
Sc 0.403 0.619 0.708

***

No. 2
Density functional theory data (GGA-PBE) for a relaxed structure of Dy4Zn2In.

Properties
The calculation puts the density of states at the Fermi level at 9.6 states/eV per cell. As for the energy of formation from the pure elements: -0.094 eV/atom. As for the total magnetization: 0.00 μB/f.u. The total energy comes out at -3.479 eV per atom. As for the energy above the most stable polymorph in this dataset: 0.1270 eV/atom.

a = 4.976 Å, b = 4.976 Å, c = 9.535 Å
α = 74.87°, β = 74.87°, γ = 60.00°
Atoms (fractional coordinates):
Dy 0.796 0.796 0.612
Zn 0.098 0.098 0.706
Dy 0.618 0.618 0.145
Dy 0.204 0.204 0.388
Zn 0.902 0.902 0.294
In 0.000 0.000 0.000
Dy 0.382 0.382 0.855